CdCu2GeTeS3, relaxed, DFT PBE; VASP energy = -3.889 eV/atom; space group = Cm (8)
1.0
2.1595 -0.3342 5.2782
-4.3104 -3.3970 1.5858
3.9601 -2.5939 -4.7874
S Cd Cu Te Ge
3 1 2 1 1
Direct
0.8658 0.4135 0.2734
0.4135 0.8658 0.2734
0.6048 0.6048 0.7415
0.9935 0.9935 0.0193
0.7114 0.2617 0.4793
0.2617 0.7114 0.4793
0.1281 0.1281 0.7195
0.5212 0.5212 0.0141

---

AgB4As, relaxed, DFT PBE; energy relative to the lowest polymorph listed for this composition = 0.000 eV per atom; VASP energy = -5.078 eV/atom; space group = P6/mmm (191)
1.0
3.0408 0.0000 0.0000
-1.5204 2.6334 0.0000
0.0000 0.0000 8.0167
B As Ag
4 1 1
Direct
0.6667 0.3333 0.2602
0.3333 0.6667 0.7398
0.3333 0.6667 0.2602
0.6667 0.3333 0.7398
0.0000 0.0000 0.5000
0.0000 0.0000 0.0000

---

HgBiAsO, relaxed, DFT PBE; energy relative to the lowest polymorph listed for this composition = 0.000 eV per atom; VASP energy = -3.796 eV/atom; space group = P4/nmm (129)
1.0
4.1729 0.0000 0.0000
0.0000 4.1729 0.0000
0.0000 0.0000 9.4074
Bi Hg As O
2 2 2 2
Direct
0.0000 0.5000 0.8747
0.5000 0.0000 0.1253
0.5000 0.5000 0.5000
0.0000 0.0000 0.5000
0.5000 0.0000 0.7045
0.0000 0.5000 0.2955
0.5000 0.5000 0.0000
0.0000 0.0000 0.0000

---

Cs3TbF6, relaxed, DFT PBE; VASP energy = -5.108 eV/atom; space group = Fm-3m (225)
1.0
0.5815 3.5148 5.8709
1.7869 2.9307 -5.9479
-6.6174 -1.2102 1.3800
F Cs Tb
6 3 1
Direct
0.2228 0.0000 0.7772
0.7772 0.5543 0.7772
0.2228 0.0000 0.2228
0.7772 0.0000 0.7772
0.7772 0.0000 0.2228
0.2228 0.4457 0.2228
0.2500 0.5000 0.7500
0.7500 0.5000 0.2500
0.5000 0.0000 0.5000
0.0000 0.0000 0.0000

---

> Which value of VASP energy does entry 2 give?

-5.078 eV/atom

---

> The lowest VASP energy belongs to which entry?

Cs3TbF6